(1)
5
Lattice="-3.958 -0.895 -0.421 1.582 -6.093 -1.914 -0.129 -1.253 3.881" Properties=species:S:1:pos:R:3 comment="ReAu2BrN, relaxed, DFT PBE-GGA" final_energy_ev_per_atom=-4.203 e_form_raw_ev_per_atom=1.60 pbc="T T T"
Re -1.253 -4.120 0.773
Au -0.064 -0.626 1.940
Au -1.979 -0.448 -0.210
Br 0.791 -3.046 -0.957
N 0.000 0.000 0.000



(2)
5
Lattice="-3.029 -2.519 -0.729 2.617 -2.834 -1.083 0.288 -2.250 6.582" Properties=species:S:1:pos:R:3 comment="AuSeBrN2, relaxed, DFT PBE-GGA" final_energy_ev_per_atom=-3.362 de_polymorph_kcal_per_mol_atoms=0.00 e_form_raw_ev_per_atom=1.65 pbc="T T T"
Au 0.000 0.000 0.000
Se 0.144 -1.125 3.291
Br -0.062 -3.801 2.385
N 1.309 -1.417 -0.542
N -1.515 -1.260 -0.364



(3)
5
Lattice="-0.766 -1.993 3.144 3.458 0.807 1.355 -2.872 6.531 3.439" Properties=species:S:1:pos:R:3 comment="AuSeBrN2, relaxed, DFT PBE-GGA" final_energy_ev_per_atom=-2.991 de_polymorph_kcal_per_mol_atoms=8.57 e_form_raw_ev_per_atom=2.03 pbc="T T T"
Au -0.090 2.673 3.969
Se -1.436 3.265 1.720
Br 0.000 0.000 0.000
N 1.729 0.404 0.677
N -0.383 -0.996 1.572



(4)
5
Lattice="3.944 0.000 0.000 0.000 3.944 0.000 0.000 0.000 8.394" Properties=species:S:1:pos:R:3 comment="TeAuBrN2, relaxed, DFT PBE-GGA" final_energy_ev_per_atom=-2.961 de_polymorph_kcal_per_mol_atoms=8.89 e_form_raw_ev_per_atom=1.99 pbc="T T T"
Te 0.000 0.000 4.197
Au 1.972 1.972 4.197
Br 0.000 0.000 0.000
N 0.000 1.972 0.000
N 1.972 0.000 0.000



(5)
5
Lattice="5.154 0.000 0.000 0.000 6.076 0.000 0.000 0.000 5.154" Properties=species:S:1:pos:R:3 comment="TeAu2BrN, relaxed, DFT PBE-GGA" final_energy_ev_per_atom=-2.136 e_form_raw_ev_per_atom=1.80 pbc="T T T"
Te 0.000 3.038 0.000
Au 0.000 0.000 2.577
Au 2.577 0.000 0.000
Br 0.000 0.000 0.000
N 2.577 3.038 2.577



(6)
5
Lattice="4.202 0.000 0.000 0.000 4.202 0.000 0.000 0.000 6.198" Properties=species:S:1:pos:R:3 comment="TeAuBrN2, relaxed, DFT PBE-GGA" final_energy_ev_per_atom=-3.347 de_polymorph_kcal_per_mol_atoms=0.00 e_form_raw_ev_per_atom=1.60 pbc="T T T"
Te 0.000 0.000 3.099
Au 0.000 0.000 0.000
Br 2.101 2.101 3.099
N 0.000 2.101 0.000
N 2.101 0.000 0.000